No. 1
An optimized crystal structure of Y3Ge6Pt4. Source: Alexandria via LeMat-Bulk, functional PBEsol.

Calculated values
SG: No. 11
Fermi-level density of states: 0.352 states/eV per atom
total DFT energy (no corrections): -6.93 eV/atom
calculated formation energy: -1170 kJ/mol of formula units

Unit cell a=8.6872 b=4.3060 c=13.1386 alpha=90.00 beta=99.56 gamma=90.00
With the nearest neighbours (Å) after each atom.
Atoms (fractional coordinates):
Y 0.0656 0.2500 0.3145  9 Ge 3.17-3.40, 6 Pt 3.25-3.35
Y 0.2345 0.7500 0.9387  8 Ge 3.00-3.07, 6 Pt 3.15-3.26
Y 0.4098 0.7500 0.6875  9 Ge 3.21-3.38, 6 Pt 3.22-3.30
Y 0.5902 0.2500 0.3125  9 Ge 3.21-3.38, 6 Pt 3.22-3.30
Y 0.7655 0.2500 0.0613  8 Ge 3.00-3.07, 6 Pt 3.15-3.26
Y 0.9344 0.7500 0.6855  9 Ge 3.17-3.40, 6 Pt 3.25-3.35
Ge 0.1193 0.2500 0.0673  3 Pt 2.45-2.64, 1 Ge 2.56
Ge 0.1268 0.7500 0.4936  4 Pt 2.48-2.50
Ge 0.1944 0.2500 0.7779  3 Pt 2.43-2.50
Ge 0.3038 0.7500 0.2146  3 Pt 2.39-2.49
Ge 0.3776 0.2500 0.4975  4 Pt 2.47-2.50
Ge 0.4140 0.2500 0.0678  3 Pt 2.45-2.64, 1 Ge 2.56
Ge 0.5860 0.7500 0.9322  3 Pt 2.45-2.64, 1 Ge 2.56
Ge 0.6224 0.7500 0.5025  4 Pt 2.47-2.50
Ge 0.6962 0.2500 0.7854  3 Pt 2.39-2.49
Ge 0.8056 0.7500 0.2221  3 Pt 2.43-2.50
Ge 0.8732 0.2500 0.5064  4 Pt 2.48-2.50
Ge 0.8807 0.7500 0.9327  3 Pt 2.45-2.64, 1 Ge 2.56
Pt 0.0293 0.7500 0.1248  5 Ge 2.45-2.64
Pt 0.1516 0.2500 0.5900  5 Ge 2.43-2.49
Pt 0.3541 0.7500 0.3993  5 Ge 2.39-2.50
Pt 0.4666 0.2500 0.8758  5 Ge 2.45-2.64
Pt 0.5334 0.7500 0.1242  5 Ge 2.45-2.64
Pt 0.6459 0.2500 0.6007  5 Ge 2.39-2.50
Pt 0.8484 0.7500 0.4100  5 Ge 2.43-2.49
Pt 0.9707 0.2500 0.8752  5 Ge 2.45-2.64

---

No. 2
An optimized crystal structure of YGe3Pt. Source: Alexandria via LeMat-Bulk, functional PBEsol.

Calculated values
SG: No. 221
Fermi-level density of states: 0.592 states/eV per atom
total DFT energy (no corrections): -4.42 eV/atom
calculated formation energy: 628 kJ/mol of formula units

Unit cell a=5.1491 b=5.1491 c=5.1491 alpha=90.00 beta=90.00 gamma=90.00
With the nearest neighbours (Å) after each atom.
Atoms (fractional coordinates):
Y 0.0000 0.0000 0.0000  6 Ge 2.57
Ge 0.0000 0.0000 0.5000  2 Y 2.57
Ge 0.0000 0.5000 0.0000  2 Y 2.57
Ge 0.5000 0.0000 0.0000  2 Y 2.57
Pt 0.5000 0.5000 0.5000  12 Ge 3.64

---

No. 3
An optimized crystal structure of ZrGePt. Source: Alexandria via LeMat-Bulk, functional PBEsol.

Calculated values
SG: No. 62
Fermi-level density of states: 0.134 states/eV per atom
total DFT energy (no corrections): -8.05 eV/atom
calculated formation energy: -306 kJ/mol of formula units

Unit cell a=6.6317 b=3.9611 c=7.6611 alpha=90.00 beta=90.00 gamma=90.00
With the nearest neighbours (Å) after each atom.
Atoms (fractional coordinates):
Zr 0.0280 0.2500 0.1828  5 Ge 2.76-2.87, 5 Pt 3.00-3.08
Zr 0.4720 0.7500 0.6828  5 Ge 2.76-2.87, 5 Pt 3.00-3.08
Zr 0.5280 0.2500 0.3172  5 Ge 2.76-2.87, 5 Pt 3.00-3.08
Zr 0.9720 0.7500 0.8172  5 Ge 2.76-2.87, 5 Pt 3.00-3.08
Ge 0.2460 0.7500 0.3781  4 Pt 2.52-2.63, 3 Zr 2.76-2.77
Ge 0.2540 0.2500 0.8781  4 Pt 2.52-2.63, 3 Zr 2.76-2.77
Ge 0.7460 0.7500 0.1219  4 Pt 2.52-2.63, 3 Zr 2.76-2.77
Ge 0.7540 0.2500 0.6219  4 Pt 2.52-2.63, 3 Zr 2.76-2.77
Pt 0.1440 0.2500 0.5629  4 Ge 2.52-2.63
Pt 0.3560 0.7500 0.0629  4 Ge 2.52-2.63
Pt 0.6440 0.2500 0.9371  4 Ge 2.52-2.63
Pt 0.8560 0.7500 0.4371  4 Ge 2.52-2.63

---

No. 4
An optimized crystal structure of Pu3Ge. Source: Alexandria via LeMat-Bulk, functional PBEsol.

Calculated values
SG: No. 221
Fermi-level density of states: 3.267 states/eV per atom
total DFT energy (no corrections): -12.48 eV/atom
calculated formation energy: 47 kJ/mol of formula units

Unit cell a=4.3930 b=4.3930 c=4.3930 alpha=90.00 beta=90.00 gamma=90.00
With the nearest neighbours (Å) after each atom.
Atoms (fractional coordinates):
Pu 0.0000 0.0000 0.5000  4 Ge 3.11, 8 Pu 3.11
Pu 0.0000 0.5000 0.0000  4 Ge 3.11, 8 Pu 3.11
Pu 0.5000 0.0000 0.0000  4 Ge 3.11, 8 Pu 3.11
Ge 0.5000 0.5000 0.5000  12 Pu 3.11